1:
## FeAgI2O (GGA+U)

Data for a relaxed FeAgI2O crystal.

Summary:
The calculation puts the density of states at the Fermi level at 0.10 states/eV per atom. The calculation puts the magnetization at 1.00 μB/atom.

Lattice parameters (Å, degrees): 5.815 5.815 3.703 90.00 90.00 90.00
Space group P4/mmm (No. 123)
Inequivalent atoms, fractional coordinates:
Fe  0.000  0.000  0.000
Ag  0.500  0.500  0.500
I  0.000  0.500  0.000
O  0.000  0.000  0.500



2:
## FeAgI2O (GGA+U)

Data for a relaxed FeAgI2O crystal.

Summary:
The calculation puts the density of states at the Fermi level at 0.86 states/eV per atom. The calculation puts the magnetization at 0.74 μB/atom.

Lattice parameters (Å, degrees): 5.795 5.795 4.023 90.00 90.00 90.00
Space group P4/mmm (No. 123)
Inequivalent atoms, fractional coordinates:
Fe  0.000  0.000  0.000
Ag  0.500  0.500  0.500
I  0.000  0.500  0.500
O  0.500  0.500  0.000



Question: of the structures shown, which is the least stable? Reply: 2.